Record 1
Computed, not measured: a relaxed BaSnI2O crystal at the PBE-GGA level of DFT.

Cell and atoms, written as POSCAR:
```
BaSnI2O
1.0
-0.128 -2.169 5.338
4.613 1.621 0.769
-2.086 4.994 1.979
I Ba O Sn
2 1 1 1
Direct
0.000 0.000 0.500
0.500 0.000 0.000
0.000 0.500 0.000
0.000 0.000 0.000
0.500 0.500 0.500
```

**Total magnetization**: 0.0 μB per cell
**Energy relative to the lowest polymorph listed for this composition**: 503 meV/atom
**Total energy**: -3.32 eV per atom
**Raw formation energy**: -0.521 eV per atom



Record 2
Computed, not measured: a relaxed SrSb4Ru crystal at the PBE-GGA level of DFT.

Cell and atoms, written as POSCAR:
```
SrSb4Ru
1.0
0.000 4.405 4.405
4.405 0.000 4.405
4.405 4.405 0.000
Sr Sb Ru
1 4 1
Direct
0.750 0.750 0.750
0.878 0.374 0.374
0.374 0.374 0.878
0.374 0.878 0.374
0.374 0.374 0.374
0.000 0.000 0.000
```

**Total magnetization**: 2.4 μB per cell
**Total energy**: -4.18 eV per atom
**Raw formation energy**: 0.396 eV per atom



Record 3
Computed, not measured: a relaxed Ce3Tl2Zn2 crystal at the PBE-GGA level of DFT.

Cell and atoms, written as POSCAR:
```
Ce3Tl2Zn2
1.0
-1.286 2.051 -3.992
-2.684 -1.979 -0.152
-6.560 8.603 3.804
Ce Tl Zn
3 2 2
Direct
0.836 0.000 0.328
0.000 0.000 0.000
0.164 0.000 0.672
0.582 0.500 0.835
0.418 0.500 0.165
0.720 0.500 0.561
0.280 0.500 0.439
```

**Total magnetization**: 3.3 μB per cell
**ΔE_f**: -5.84 kcal/mol of atoms
**Total energy**: -3.84 eV per atom